Density functional theory data (PBE) for crystalline CaBeAu11 at its relaxed geometry.

```
CaBeAu11
1.0
-3.324 -3.773 2.329
3.925 -4.131 3.755
-2.522 2.204 6.563
Ca Be Au
1 1 11
Direct
0.000 0.000 0.000
0.500 0.500 0.000
0.330 0.233 0.204
0.670 0.767 0.796
0.465 0.767 0.204
0.535 0.233 0.796
0.315 0.650 0.652
0.685 0.350 0.348
0.033 0.350 0.652
0.967 0.650 0.348
0.000 0.500 0.000
0.500 0.000 0.500
0.000 0.000 0.500
```

electronic total energy: -3.403 eV/atom
energy of formation from the pure elements: -189 meV per atom
total moment: 0.00 μB/f.u.
V: 246 Å³/f.u.